1.
MgTcIr: relaxed, PBE.

calculated volume	94	Å³/cell
SG	No. 38
E_form	-0.096	eV per atom
DOS at the Fermi energy	0.7788	states/eV/atom
total moment	0.000	Bohr magnetons per cell

a b c (Å): 2.851 7.403 7.403
angles (deg): 143.14 90.00 90.00
Sites, in units of the cell vectors:
Mg 0.000 0.183 0.817
Mg 0.000 0.817 0.183
Tc 0.000 0.709 0.709
Tc 0.500 0.161 0.161
Ir 0.500 0.349 0.640
Ir 0.500 0.640 0.349

---

2.
LiZn2Ga8: relaxed, PBE.

calculated volume	197	Å³/cell
SG	No. 71
E_form	-0.041	eV per atom
DOS at the Fermi energy	0.2793	states/eV/atom
total moment	0.000	Bohr magnetons per cell

a b c (Å): 7.370 7.370 7.370
angles (deg): 146.69 114.36 75.63
Sites, in units of the cell vectors:
Li 0.000 0.000 0.000
Zn 0.320 0.320 0.000
Zn 0.680 0.680 0.000
Ga 0.115 0.846 0.269
Ga 0.164 0.664 0.500
Ga 0.275 0.500 0.775
Ga 0.423 0.154 0.269
Ga 0.577 0.846 0.731
Ga 0.725 0.500 0.225
Ga 0.836 0.336 0.500
Ga 0.885 0.154 0.731

---

3.
Li3ZrNb2N6: relaxed, PBE.

calculated volume	132	Å³/cell
SG	No. 12
DOS at the Fermi energy	0.3818	states/eV/atom
total moment	0.000	Bohr magnetons per cell
ΔE_f (raw)	-0.859	eV per atom

a b c (Å): 5.487 5.487 5.379
angles (deg): 99.70 99.70 120.01
Sites, in units of the cell vectors:
Li 0.000 0.000 0.000
Li 0.329 0.671 0.000
Li 0.671 0.329 0.000
Zr 0.500 0.500 0.500
Nb 0.167 0.833 0.500
Nb 0.833 0.167 0.500
N 0.082 0.426 0.277
N 0.230 0.230 0.724
N 0.426 0.082 0.277
N 0.574 0.918 0.723
N 0.770 0.770 0.276
N 0.918 0.574 0.723

---

4.
Tb12YNi6: relaxed, PBE.

calculated volume	483	Å³/cell
SG	No. 204
E_form	-0.231	eV per atom
DOS at the Fermi energy	1.3117	states/eV/atom
total moment	0.001	Bohr magnetons per cell

a b c (Å): 8.558 8.558 8.558
angles (deg): 109.47 109.47 109.47
Sites, in units of the cell vectors:
Tb 0.127 0.311 0.816
Tb 0.184 0.496 0.311
Tb 0.184 0.873 0.689
Tb 0.311 0.184 0.496
Tb 0.311 0.816 0.127
Tb 0.496 0.311 0.184
Tb 0.504 0.689 0.816
Tb 0.689 0.184 0.873
Tb 0.689 0.816 0.504
Tb 0.816 0.127 0.311
Tb 0.816 0.504 0.689
Tb 0.873 0.689 0.184
Y 0.000 0.000 0.000
Ni 0.123 0.500 0.623
Ni 0.377 0.877 0.500
Ni 0.500 0.377 0.877
Ni 0.500 0.623 0.123
Ni 0.623 0.123 0.500
Ni 0.877 0.500 0.377

---

5.
ZnReTcRu: relaxed, PBE.

calculated volume	57	Å³/cell
SG	No. 216
E_form	0.097	eV per atom
DOS at the Fermi energy	0.5342	states/eV/atom
total moment	0.000	Bohr magnetons per cell

a b c (Å): 4.332 4.332 4.332
angles (deg): 60.00 60.00 60.00
Sites, in units of the cell vectors:
Zn 0.000 0.000 0.000
Re 0.500 0.500 0.500
Tc 0.250 0.250 0.250
Ru 0.750 0.750 0.750

---

6.
NdPuInGa: relaxed, PBE.

calculated volume	106	Å³/cell
SG	No. 216
E_form	-0.286	eV per atom
DOS at the Fermi energy	2.2972	states/eV/atom
total moment	5.923	Bohr magnetons per cell

a b c (Å): 5.310 5.310 5.310
angles (deg): 60.00 60.00 60.00
Sites, in units of the cell vectors:
Nd 0.000 0.000 0.000
Pu 0.500 0.500 0.500
In 0.750 0.750 0.750
Ga 0.250 0.250 0.250

---

7.
HoTmNp2S4: relaxed, PBE.

calculated volume	166	Å³/cell
SG	No. 10
DOS at the Fermi energy	2.0656	states/eV/atom
total moment	8.786	Bohr magnetons per cell
ΔE_f (raw)	-1.677	eV per atom

a b c (Å): 6.734 3.882 6.738
angles (deg): 90.00 109.37 90.00
Sites, in units of the cell vectors:
Ho 0.000 0.000 0.000
Tm 0.000 0.500 0.500
Np 0.500 0.000 0.500
Np 0.500 0.500 0.000
S 0.245 0.000 0.746
S 0.246 0.500 0.250
S 0.754 0.500 0.750
S 0.755 0.000 0.254

---

8.
Na2SrLi2: relaxed, PBE.

calculated volume	172	Å³/cell
SG	No. 139
E_form	0.098	eV per atom
DOS at the Fermi energy	0.4586	states/eV/atom
total moment	0.000	Bohr magnetons per cell

a b c (Å): 7.054 7.054 7.054
angles (deg): 135.22 135.22 65.19
Sites, in units of the cell vectors:
Na 0.130 0.130 0.000
Na 0.870 0.870 0.000
Sr 0.500 0.500 0.000
Li 0.250 0.750 0.500
Li 0.750 0.250 0.500

---

9.
LiPbW2: relaxed, PBE.

calculated volume	72	Å³/cell
SG	No. 47
E_form	0.883	eV per atom
DOS at the Fermi energy	0.7573	states/eV/atom
total moment	0.000	Bohr magnetons per cell

a b c (Å): 2.813 4.697 5.419
angles (deg): 90.00 90.00 90.00
Sites, in units of the cell vectors:
Li 0.000 0.000 0.000
Pb 0.000 0.000 0.500
W 0.500 0.500 0.233
W 0.500 0.500 0.767

---

10.
Mn2ReBi: relaxed, PBE.

calculated volume	171	Å³/cell
SG	No. 122
E_form	1.388	eV per atom
DOS at the Fermi energy	0.6180	states/eV/atom
total moment	0.000	Bohr magnetons per cell

a b c (Å): 6.360 6.360 6.360
angles (deg): 123.45 123.45 84.12
Sites, in units of the cell vectors:
Mn 0.082 0.625 0.957
Mn 0.375 0.332 0.457
Mn 0.668 0.125 0.043
Mn 0.875 0.918 0.543
Re 0.000 0.000 0.000
Re 0.750 0.250 0.500
Bi 0.250 0.750 0.500
Bi 0.500 0.500 0.000

---

11.
NaInC: relaxed, PBE.

calculated volume	194	Å³/cell
SG	No. 62
E_form	0.788	eV per atom
DOS at the Fermi energy	0.0016	states/eV/atom
total moment	0.000	Bohr magnetons per cell

a b c (Å): 7.219 4.025 6.687
angles (deg): 90.00 90.00 90.00
Sites, in units of the cell vectors:
Na 0.044 0.250 0.158
Na 0.456 0.750 0.658
Na 0.544 0.250 0.342
Na 0.956 0.750 0.842
In 0.156 0.250 0.589
In 0.344 0.750 0.089
In 0.656 0.250 0.911
In 0.844 0.750 0.411
C 0.181 0.750 0.395
C 0.319 0.250 0.895
C 0.681 0.750 0.105
C 0.819 0.250 0.605

---

12.
YZnTeO6: relaxed, PBE.

calculated volume	234	Å³/cell
SG	No. 163
DOS at the Fermi energy	0.6198	states/eV/atom
total moment	2.190	Bohr magnetons per cell
ΔE_f (raw)	-1.702	eV per atom

a b c (Å): 5.237 5.237 9.841
angles (deg): 90.00 90.00 120.00
Sites, in units of the cell vectors:
Y 0.000 0.000 0.000
Y 0.000 0.000 0.500
Zn 0.333 0.667 0.250
Zn 0.667 0.333 0.750
Te 0.333 0.667 0.750
Te 0.667 0.333 0.250
O 0.020 0.368 0.638
O 0.020 0.652 0.862
O 0.348 0.368 0.862
O 0.348 0.980 0.638
O 0.368 0.020 0.138
O 0.368 0.348 0.362
O 0.632 0.652 0.638
O 0.632 0.980 0.862
O 0.652 0.020 0.362
O 0.652 0.632 0.138
O 0.980 0.348 0.138
O 0.980 0.632 0.362